No. 1
The following is a DFT calculation (PBE-GGA) of an optimized crystal structure of Pu2HgPt9.

Volume = 210.42 Å³/cell
Symmetry = No. 123
Total energy = -0.545 Ry per atom

Geometry as POSCAR:
```
Pu2HgPt9
1.0
-2.3682 -3.3533 -0.4481
3.3536 -2.3989 0.2285
-1.3322 -0.6956 12.2467
Pu Pt Hg
2 9 1
direct
0.0000 0.0000 0.3299 Pu
0.0000 0.0000 0.6701 Pu
0.5000 0.0000 0.8333 Pt
0.0000 0.5000 0.8333 Pt
0.5000 0.5000 0.0000 Pt
0.5000 0.0000 0.5000 Pt
0.5000 0.5000 0.3315 Pt
0.0000 0.5000 0.5000 Pt
0.0000 0.5000 0.1667 Pt
0.5000 0.0000 0.1667 Pt
0.5000 0.5000 0.6685 Pt
0.0000 0.0000 0.0000 Hg
```

No. 2
The following is a DFT calculation (PBE-GGA) of an optimized crystal structure of PuHgPt2.

Volume = 80.03 Å³/cell
Symmetry = No. 225
Distance to the lowest polymorph of the same formula = 0 meV/atom
Total energy = -0.525 Ry per atom

Geometry as POSCAR:
```
PuHgPt2
1.0
4.8366 0.0000 0.0000
2.4183 4.1887 0.0000
2.4183 1.3962 3.9505
Hg Pt Pu
1 2 1
direct
0.5000 0.5000 0.5000 Hg
0.2500 0.2500 0.2500 Pt
0.7500 0.7500 0.7500 Pt
0.0000 0.0000 0.0000 Pu
```

No. 3
The following is a DFT calculation (PBE-GGA) of an optimized crystal structure of Pu4HgPt3.

Volume = 182.53 Å³/cell
Symmetry = No. 12
Total energy = -0.738 Ry per atom

Geometry as POSCAR:
```
Pu4HgPt3
1.0
-1.1288 4.7510 -1.4146
-3.8934 0.7869 -3.1732
-6.6352 2.4834 4.8329
Pu Pt Hg
4 3 1
direct
0.1352 0.1352 0.5955 Pu
0.3851 0.3851 0.8491 Pu
0.8648 0.8648 0.4045 Pu
0.6149 0.6149 0.1509 Pu
0.5000 0.5000 0.5000 Pt
0.7433 0.7433 0.7803 Pt
0.2567 0.2567 0.2197 Pt
0.0000 0.0000 0.0000 Hg
```

No. 4
The following is a DFT calculation (PBE-GGA) of an optimized crystal structure of PuHgPt2.

Volume = 79.46 Å³/cell
Symmetry = No. 123
Distance to the lowest polymorph of the same formula = 130 meV/atom
Total energy = -0.515 Ry per atom

Geometry as POSCAR:
```
PuHgPt2
1.0
-2.9881 0.1802 0.4611
0.7153 -0.9074 4.9900
0.4351 5.0317 0.8526
Pu Hg Pt
1 1 2
direct
0.5000 0.5000 0.5000 Pu
0.5000 0.0000 0.0000 Hg
0.0000 0.0000 0.5000 Pt
0.0000 0.5000 0.0000 Pt
```

In the order shown, the computed ΔH_f (0 K) values come out to -0.4674, -0.4598, -0.5684, -0.3300 eV/atom.